[1]
Entry from the Alexandria database: a relaxed MnNb2S4 crystal (PBE-GGA).

Cell: 3.3026 3.3026 13.8980 Å, 90.00 90.00 120.00°
Space group P-3m1 (No. 164)
Asymmetric unit:
Mn (0.0000, 0.0000, 0.0000) x1
Nb (0.3333, 0.6667, 0.2726) x2
S (0.3333, 0.6667, 0.0976) x2
S (0.3333, 0.6667, 0.6183) x2

VASP energy   -7.148 eV per atom

[2]
Entry from the Alexandria database: a relaxed ZnCo2Rh crystal (PBE-GGA).

Cell: 3.767 3.767 7.106 Å, 90.00 90.00 90.00°
Space group I-4m2 (No. 119)
Asymmetric unit:
Zn (0.000, 0.000, 0.000) x2
Co (0.000, 0.000, 0.500) x2
Co (0.000, 0.500, 0.750) x2
Rh (0.000, 0.500, 0.250) x2

VASP energy   -5.721 eV per atom
DFT formation energy   -0.012 eV/atom